1.
AlMoP: relaxed, PBEsol.

Output
For the volume, the calculation gives 13.7 A^3/atom. Its space-group type is I4mm. Its energy is -0.572 Ry per atom. As for the formation energy: -0.565 eV/atom. The crystal system is tetragonal.

```
AlMoP
1.0
-1.5812 1.5812 4.1013
1.5812 -1.5812 4.1013
1.5812 1.5812 -4.1013
Al Mo P
1 1 1
Direct
0.0000 0.0000 0.0000
0.6840 0.6840 0.0000
0.3222 0.3222 0.0000
```

2.
ZrCr2Tc: relaxed, PBEsol.

Output
For the volume, the calculation gives 14.3 A^3/atom. The energy above the most stable polymorph in this dataset is 0 meV/atom. Its space-group type is Immm. Its energy is -0.742 Ry per atom. As for the formation energy: 0.121 eV/atom. The crystal system is orthorhombic.

```
ZrCr2Tc
1.0
-1.5279 2.1742 4.2962
1.5279 -2.1742 4.2962
1.5279 2.1742 -4.2962
Zr Cr Tc
1 2 1
Direct
0.0000 0.0000 0.0000
0.2599 0.7599 0.5000
0.7401 0.2401 0.5000
0.5000 0.5000 0.0000
```

3.
TaBeTe: relaxed, PBEsol.

Output
For the volume, the calculation gives 20.0 A^3/atom. The energy above the most stable polymorph in this dataset is 459 meV/atom. Its space-group type is F-43m. Its energy is -0.416 Ry per atom. The value obtained for the raw formation energy is 1.03 eV per atom. The crystal system is cubic.

```
TaBeTe
1.0
0.0000 3.1088 3.1088
3.1088 0.0000 3.1088
3.1088 3.1088 0.0000
Ta Be Te
1 1 1
Direct
0.0000 0.0000 0.0000
0.5000 0.5000 0.5000
0.7500 0.7500 0.7500
```

4.
YFeSe2: relaxed, PBEsol.

Output
For the volume, the calculation gives 18.6 A^3/atom. Its space-group type is P4/mmm. Its energy is -0.487 Ry per atom. The value obtained for the raw formation energy is -0.75 eV per atom. The crystal system is tetragonal.

```
YFeSe2
1.0
4.6567 0.0000 0.0000
0.0000 4.6567 0.0000
0.0000 0.0000 3.4367
Y Fe Se
1 1 2
Direct
0.0000 0.0000 0.0000
0.5000 0.5000 0.0000
0.0000 0.5000 0.5000
0.5000 0.0000 0.5000
```